Entry from Alexandria via LeMat-Bulk: TaGa2Ag at its PBEsol-relaxed geometry (SCAN). Values from VASP.

Computed properties:
* energy relative to the elements: 256.0 meV/atom
* space-group type: No. 225
* DOS at the Fermi energy: 3.301 states/eV per cell

Structure (Quantum ESPRESSO input):
```
&SYSTEM
  ibrav = 0, nat = 4, ntyp = 3
/
ATOMIC_SPECIES
Ga 69.72 Ga.upf
Ag 107.87 Ag.upf
Ta 180.95 Ta.upf
ATOMIC_POSITIONS angstrom
Ga -1.827 -1.137 1.725
Ga -5.480 -3.410 5.176
Ag 0.000 0.000 0.000
Ta -3.654 -2.273 3.451
CELL_PARAMETERS angstrom
-3.954 0.584 2.076
-2.734 -3.516 0.667
-0.620 -1.614 4.158
```